Entry 1:
Crystalline Cs3Ge2Te4 at its relaxed geometry, computed with PBE.

Cell and atoms, written as POSCAR:
```
Cs3Ge2Te4
1.0
9.195 0.421 0.301
1.016 9.809 -0.569
1.016 2.621 9.469
Cs Ge Te
6 4 8
Cartesian
8.463 1.141 2.849
7.362 9.996 9.189
2.764 11.709 6.352
3.866 2.855 0.012
3.315 7.093 3.446
7.913 5.758 5.755
4.502 2.973 3.948
2.128 7.945 7.507
6.725 9.877 5.253
9.100 4.906 1.693
5.725 10.157 2.602
0.905 6.904 0.274
5.503 2.694 6.598
10.322 5.946 8.927
1.736 3.645 3.301
4.894 8.341 6.663
9.492 9.205 5.900
6.334 4.510 2.538
```

Calculated values
The raw formation energy is -636 meV/atom. The value obtained for the total moment is 0.00 μB/atom.



Entry 2:
Crystalline CsGeTe4 at its relaxed geometry, computed with PBE.

Cell and atoms, written as POSCAR:
```
CsGeTe4
1.0
7.436 0.027 0.102
-0.020 9.190 -1.047
-3.579 -5.637 8.020
Cs Ge Te
2 2 8
Cartesian
5.286 6.915 -0.672
-1.448 -3.335 7.747
1.929 -2.805 4.061
-1.799 1.777 3.487
2.179 -4.356 6.632
5.942 3.379 1.043
1.659 7.936 0.442
-2.105 0.201 6.032
4.144 4.429 3.537
0.439 3.753 3.058
-0.307 -0.849 3.538
3.399 -0.172 4.017
```

Calculated values
The energy above the most stable polymorph in this dataset is 42 meV/atom. The raw formation energy is -239 meV/atom. The value obtained for the total moment is 0.00 μB/atom.



Entry 3:
Crystalline CsGe4Te4 at its relaxed geometry, computed with PBE.

Cell and atoms, written as POSCAR:
```
CsGe4Te4
1.0
5.941 0.000 0.000
0.000 10.113 0.000
0.000 0.000 10.113
Cs Ge Te
2 8 8
Cartesian
0.000 0.000 0.000
2.970 5.057 5.057
3.018 8.829 3.875
3.018 1.285 6.238
0.048 8.932 6.341
5.893 3.772 8.932
5.893 6.341 1.182
2.922 3.875 1.285
2.922 6.238 8.829
0.048 1.182 3.772
2.965 3.146 8.713
5.935 6.457 8.202
2.965 6.967 1.401
0.006 1.911 6.457
2.976 8.713 6.967
0.006 8.202 3.656
5.935 3.656 1.911
2.976 1.401 3.146
```

Calculated values
The raw formation energy is -120 meV/atom. The value obtained for the total moment is 0.00 μB/atom.



Entry 4:
Crystalline CsGe3Te3 at its relaxed geometry, computed with PBE.

Cell and atoms, written as POSCAR:
```
CsGe3Te3
1.0
9.350 0.000 0.000
4.675 8.097 0.000
4.675 2.699 6.961
Cs Ge Te
2 6 6
Cartesian
4.675 2.699 0.017
14.025 8.097 6.945
10.711 8.052 4.601
10.968 2.892 4.601
6.371 5.250 4.601
12.329 5.546 2.361
7.732 7.904 2.361
7.989 2.744 2.361
5.871 5.851 2.009
10.697 2.159 2.009
11.482 8.185 2.009
7.218 2.611 4.952
8.002 8.638 4.952
12.829 4.945 4.952
```

Calculated values
The energy above the most stable polymorph in this dataset is 12 meV/atom. The raw formation energy is -123 meV/atom. The value obtained for the total moment is 0.00 μB/atom.



Entry 5:
Crystalline CsGe3Te3 at its relaxed geometry, computed with PBE.

Cell and atoms, written as POSCAR:
```
CsGe3Te3
1.0
8.233 0.000 2.657
3.688 7.361 2.657
1.095 0.676 10.691
Cs Ge Te
2 6 6
Cartesian
9.334 5.763 13.331
3.682 2.274 2.675
5.400 3.334 6.267
8.422 3.335 7.242
6.753 6.036 7.242
6.263 2.001 8.764
4.594 4.702 8.763
7.616 4.703 9.739
5.550 5.913 10.969
7.773 2.314 10.969
3.748 2.314 9.670
9.268 5.723 6.336
5.243 5.723 5.037
7.465 2.124 5.037
```

Calculated values
The energy above the most stable polymorph in this dataset is 0 meV/atom. The raw formation energy is -135 meV/atom. The value obtained for the total moment is 0.00 μB/atom.



Entry 6:
Crystalline CsGeTe2 at its relaxed geometry, computed with PBE.

Cell and atoms, written as POSCAR:
```
CsGeTe2
1.0
-1.012 3.732 -7.621
-8.073 1.941 2.023
-3.030 7.142 -0.892
Cs Ge Te
2 2 4
Cartesian
0.000 0.000 0.000
-4.292 6.855 -5.656
-4.543 2.837 -2.799
-7.823 5.960 -0.834
-2.288 3.952 -3.898
-6.041 3.874 -0.747
-6.564 7.697 -2.546
-9.337 10.108 -5.789
```

Calculated values
The raw formation energy is -423 meV/atom. The value obtained for the total moment is 0.00 μB/atom.



Entry 7:
Crystalline CsGeTe2 at its relaxed geometry, computed with PBE.

Cell and atoms, written as POSCAR:
```
CsGeTe2
1.0
6.503 4.301 -0.291
-6.503 4.301 -0.291
0.000 2.994 5.994
Cs Ge Te
2 2 4
Cartesian
4.826 6.547 4.205
-4.826 5.050 1.208
0.030 5.050 1.208
-0.030 6.547 4.205
-1.574 2.949 0.423
-1.574 7.150 1.993
1.574 4.446 3.420
1.574 8.647 4.990
```

Calculated values
The raw formation energy is -510 meV/atom. The value obtained for the total moment is 0.00 μB/atom.



Entry 8:
Crystalline Cs3GeTe at its relaxed geometry, computed with PBE.

Cell and atoms, written as POSCAR:
```
Cs3GeTe
1.0
6.624 0.000 0.000
0.000 6.624 0.000
0.000 0.000 6.624
Cs Ge Te
3 1 1
Cartesian
0.000 3.312 0.000
0.000 0.000 3.312
3.312 0.000 0.000
0.000 0.000 0.000
3.312 3.312 3.312
```

Calculated values
The raw formation energy is -34 meV/atom. The value obtained for the total moment is 0.00 μB/atom.



Entry 9:
Crystalline CsGeTe2 at its relaxed geometry, computed with PBE.

Cell and atoms, written as POSCAR:
```
CsGeTe2
1.0
2.441 0.000 10.346
-1.220 2.114 10.346
-1.220 -2.114 10.346
Cs Ge Te
1 1 2
Cartesian
0.000 0.000 0.000
0.000 0.000 15.519
0.000 0.000 27.473
0.000 0.000 3.565
```

Calculated values
The raw formation energy is -109 meV/atom. The value obtained for the total moment is 0.00 μB/atom.



Entry 10:
Crystalline CsGeTe2 at its relaxed geometry, computed with PBE.

Cell and atoms, written as POSCAR:
```
CsGeTe2
1.0
-7.468 -0.004 4.121
2.709 -4.001 4.905
3.775 10.953 6.852
Cs Ge Te
4 4 8
Cartesian
0.431 0.737 5.194
-1.415 6.210 10.684
-4.656 2.734 4.804
3.672 4.213 11.074
-4.903 4.472 8.773
3.919 2.475 7.105
0.718 9.950 10.139
-1.702 -3.002 5.739
-1.705 9.684 8.845
0.721 -2.737 7.033
2.367 4.740 7.393
-3.351 2.207 8.485
-3.253 -0.738 6.028
2.269 7.686 9.850
2.850 0.210 8.261
-3.834 6.738 7.617
```

Calculated values
The raw formation energy is -473 meV/atom. The value obtained for the total moment is 0.00 μB/atom.



Entry 11:
Crystalline Cs2TiGeTe at its relaxed geometry, computed with PBE.

Cell and atoms, written as POSCAR:
```
Cs2TiGeTe
1.0
7.376 0.000 0.000
0.000 5.329 0.000
0.000 0.000 7.376
Cs Ge Te Ti
2 1 1 1
Cartesian
0.000 0.000 3.688
3.688 0.000 0.000
3.688 2.665 3.688
0.000 0.000 0.000
0.000 2.665 0.000
```

Calculated values
The raw formation energy is 335 meV/atom. The value obtained for the total moment is 0.00 μB/atom.



Entry 12:
Crystalline Cs2TlGeTe4 at its relaxed geometry, computed with PBE.

Cell and atoms, written as POSCAR:
```
Cs2TlGeTe4
1.0
6.994 0.000 0.000
3.497 7.904 0.000
3.497 0.000 13.250
Cs Tl Ge Te
4 2 2 8
Cartesian
3.497 0.000 8.362
6.994 0.000 4.889
8.743 3.952 11.514
8.743 3.952 1.737
8.743 3.952 6.625
0.000 0.000 0.000
5.246 3.952 6.625
3.497 0.000 0.000
5.470 6.343 1.612
5.470 1.561 11.638
12.016 6.343 11.638
5.022 1.561 1.612
6.770 5.513 5.013
6.770 2.391 8.237
10.715 5.513 8.237
3.721 2.391 5.013
```

Calculated values
The raw formation energy is -496 meV/atom. The value obtained for the total moment is 0.00 μB/atom.